Entry 1:
This record from Alexandria via LeMat-Bulk describes UFeAg after structural relaxation. The functional is GGA-PBE.

a = 9.196 Å, b = 2.843 Å, c = 9.184 Å
α = 90.00°, β = 114.01°, γ = 90.00°
Fractional positions:
1 U 0.000 0.000 0.000
2 U 0.024 0.500 0.637
3 U 0.500 0.500 0.000
4 U 0.524 0.000 0.637
5 Fe 0.232 0.500 0.935
6 Fe 0.286 0.500 0.688
7 Fe 0.732 0.000 0.935
8 Fe 0.786 0.000 0.688
9 Ag 0.163 0.000 0.401
10 Ag 0.335 0.500 0.255
11 Ag 0.663 0.500 0.401
12 Ag 0.835 0.000 0.255

## Properties
For the volume, the calculation gives 18.3 A^3/atom. The raw total energy comes out at -7.19 eV per atom. The calculation puts the size of the total moment at 0.460 μB per atom.

---

Entry 2:
This record from Alexandria via LeMat-Bulk describes UFe4Ag after structural relaxation. The functional is GGA-PBE.

a = 4.996 Å, b = 4.996 Å, c = 4.996 Å
α = 60.00°, β = 60.00°, γ = 60.00°
Fractional positions:
1 U 0.000 0.000 0.000
2 Fe 0.374 0.374 0.374
3 Fe 0.374 0.374 0.877
4 Fe 0.374 0.877 0.374
5 Fe 0.877 0.374 0.374
6 Ag 0.750 0.750 0.750

## Properties
For the volume, the calculation gives 14.7 A^3/atom. The raw total energy comes out at -7.85 eV per atom. The calculation puts the size of the total moment at 1.106 μB per atom.

---

Entry 3:
This record from Alexandria via LeMat-Bulk describes V2FeAg after structural relaxation. The functional is GGA-PBE.

a = 6.160 Å, b = 6.160 Å, c = 6.160 Å
α = 90.00°, β = 90.00°, γ = 90.00°
Fractional positions:
1 V 0.250 0.250 0.250
2 V 0.250 0.250 0.750
3 V 0.250 0.750 0.250
4 V 0.250 0.750 0.750
5 V 0.750 0.250 0.250
6 V 0.750 0.250 0.750
7 V 0.750 0.750 0.250
8 V 0.750 0.750 0.750
9 Fe 0.000 0.000 0.000
10 Fe 0.000 0.500 0.500
11 Fe 0.500 0.000 0.500
12 Fe 0.500 0.500 0.000
13 Ag 0.000 0.000 0.500
14 Ag 0.000 0.500 0.000
15 Ag 0.500 0.000 0.000
16 Ag 0.500 0.500 0.500

## Properties
For the volume, the calculation gives 14.6 A^3/atom. The raw total energy comes out at -6.98 eV per atom. The calculation puts the size of the total moment at 0.511 μB per atom. The value obtained for the distance to the lowest polymorph of the same formula is 0.0 meV per atom.

---

Entry 4:
This record from Alexandria via LeMat-Bulk describes VFe3Ag after structural relaxation. The functional is GGA-PBE.

a = 4.658 Å, b = 4.658 Å, c = 4.658 Å
α = 90.00°, β = 90.00°, γ = 90.00°
Fractional positions:
1 V 0.000 0.000 0.000
2 Fe 0.000 0.500 0.500
3 Fe 0.500 0.000 0.500
4 Fe 0.500 0.500 0.000
5 Ag 0.500 0.500 0.500

## Properties
For the volume, the calculation gives 20.2 A^3/atom. The raw total energy comes out at -5.63 eV per atom. The calculation puts the size of the total moment at 2.473 μB per atom. The value obtained for the distance to the lowest polymorph of the same formula is 810.9 meV per atom.

---

Entry 5:
This record from Alexandria via LeMat-Bulk describes VFe3Ag after structural relaxation. The functional is GGA-PBE.

a = 4.277 Å, b = 4.277 Å, c = 4.277 Å
α = 90.00°, β = 90.00°, γ = 90.00°
Fractional positions:
1 V 0.000 0.000 0.000
2 Fe 0.000 0.000 0.500
3 Fe 0.000 0.500 0.000
4 Fe 0.500 0.000 0.000
5 Ag 0.500 0.500 0.500

## Properties
For the volume, the calculation gives 15.7 A^3/atom. The raw total energy comes out at -6.44 eV per atom. The calculation puts the size of the total moment at 0.938 μB per atom. The value obtained for the distance to the lowest polymorph of the same formula is 0.0 meV per atom.

---

Entry 6:
This record from Alexandria via LeMat-Bulk describes VFe4Ag after structural relaxation. The functional is GGA-PBE.

a = 4.766 Å, b = 4.766 Å, c = 4.766 Å
α = 60.00°, β = 60.00°, γ = 60.00°
Fractional positions:
1 V 0.000 0.000 0.000
2 Fe 0.126 0.625 0.625
3 Fe 0.625 0.126 0.625
4 Fe 0.625 0.625 0.126
5 Fe 0.625 0.625 0.625
6 Ag 0.250 0.250 0.250

## Properties
For the volume, the calculation gives 12.8 A^3/atom. The raw total energy comes out at -7.53 eV per atom. The calculation puts the size of the total moment at 1.019 μB per atom.

---

Number 1: energy of formation from the pure elements 0.3465 eV/atom. Number 2: energy of formation from the pure elements 0.1487 eV/atom. Number 3: energy of formation from the pure elements 0.4058 eV/atom. Number 4: energy of formation from the pure elements 1.8459 eV/atom. Number 5: energy of formation from the pure elements 1.0350 eV/atom. Number 6: energy of formation from the pure elements 0.1091 eV/atom.